[1]
DFT (PBE) results for a relaxed LaDy2 crystal.

Cell: 9.4823 9.4823 9.4823 Å, 90.00 90.00 90.00°
Space group Fd-3m (No. 227, origin choice 2)
One atom of each set of equivalent atoms:
La (0.1250, 0.1250, 0.1250) [8 per cell]
Dy (0.0000, 0.0000, 0.5000) [16 per cell]

Results
Theoretical density = 7228 kg/m3
Calculated volume = 852.6 Å³/cell
Uncorrected energy = -106.481 eV per cell
Total magnetic moment = 11.87 μB per cell
Crystal system = cubic
Calculated formation energy = 0.274 eV/atom

***

[2]
DFT (PBE) results for a relaxed CdOs2Cl crystal.

Cell: 2.8592 2.8592 26.7641 Å, 90.00 90.00 120.00°
Space group R-3m (No. 166, hexagonal axes)
One atom of each set of equivalent atoms:
Cd (0.0000, 0.0000, 0.0000) [3 per cell]
Os (0.0000, 0.0000, 0.2442) [6 per cell]
Cl (0.0000, 0.0000, 0.5000) [3 per cell]

Results
Theoretical density = 13890 kg/m3
Calculated volume = 189.5 Å³/cell
Uncorrected energy = -64.481 eV per cell
Total magnetic moment = 0.00 μB per cell
Crystal system = trigonal

***

Question: Which value of calculated volume does entry 2 give?
Answer: 189.5 Å³/cell